# 1
The following is a PBE calculation of a geometry-optimized PmCu2Te3 structure, from the Alexandria database.

Results
* energy above the most stable polymorph in this dataset: 0.71 eV per formula unit
* symmetry: Pmmn (59)
* spin magnetization: 0.00 μB/f.u.
* energy: -4.20 eV per atom
* ΔE_f (raw): -471 meV/atom

Cell: 4.6013 6.1220 12.0715 Å, 90.00 90.00 90.00°
Sites, in units of the cell vectors:
Cu1 0.9670 0.0000 0.3872
Cu2 0.0330 0.5000 0.1128
Cu3 0.0330 0.5000 0.8872
Cu4 0.9670 0.0000 0.6128
Pm1 0.5182 0.5000 0.5000
Pm2 0.4818 0.0000 0.0000
Te1 0.9926 0.0000 0.8252
Te2 0.5278 0.5000 0.0000
Te3 0.0074 0.5000 0.3252
Te4 0.9926 0.0000 0.1748
Te5 0.4722 0.0000 0.5000
Te6 0.0074 0.5000 0.6748

***

# 2
The following is a PBE calculation of a geometry-optimized HfNiHIr2 structure, from the Alexandria database.

Results
* energy above the most stable polymorph in this dataset: 0.52 eV per formula unit
* symmetry: P4/mmm (123)
* spin magnetization: 0.14 μB/f.u.
* energy: -7.80 eV per atom

Cell: 3.9249 3.9249 4.0489 Å, 90.00 90.00 90.00°
Site moments in Bohr magnetons follow the coordinates.
Sites, in units of the cell vectors:
H1 0.0000 0.0000 0.0000  0.00
Ir1 0.5000 0.0000 0.0000  0.04
Ir2 0.0000 0.5000 0.0000  0.04
Ni1 0.5000 0.5000 0.5000  0.09
Hf1 0.0000 0.0000 0.5000  -0.01

***

# 3
The following is a PBE calculation of a geometry-optimized La2TaTlRh structure, from the Alexandria database.

Results
* symmetry: P4/mmm (123)
* spin magnetization: 2.61 μB/f.u.
* energy: -4.95 eV per atom
* energy of formation from the pure elements: 1.338 eV per atom

Cell: 5.9136 5.1383 5.9136 Å, 90.00 90.00 90.00°
Site moments in Bohr magnetons follow the coordinates.
Sites, in units of the cell vectors:
Ta1 0.0000 0.5000 0.0000  1.38
La1 0.0000 0.0000 0.5000  0.11
La2 0.5000 0.0000 0.0000  0.10
Rh1 0.5000 0.5000 0.5000  -0.39
Tl1 0.0000 0.0000 0.0000  0.01

***

# 4
The following is a PBE calculation of a geometry-optimized Nd6Ir2SeBr3 structure, from the Alexandria database.

Results
* symmetry: C2/m (12)
* spin magnetization: 0.00 μB/f.u.
* energy: -5.81 eV per atom
* ΔE_f (raw): -1238 meV/atom

Cell: 7.3772 7.3772 7.9891 Å, 98.84 98.84 119.97°
Sites, in units of the cell vectors:
Br1 0.8386 0.1614 0.5000
Br2 0.1614 0.8386 0.5000
Br3 0.5000 0.5000 0.5000
Nd1 0.7098 0.7098 0.1992
Nd2 0.2902 0.2902 0.8008
Nd3 0.9324 0.5760 0.7996
Nd4 0.4240 0.0676 0.2004
Nd5 0.0676 0.4240 0.2004
Nd6 0.5760 0.9324 0.7996
Ir1 0.3328 0.6672 0.0000
Ir2 0.6672 0.3328 0.0000
Se1 0.0000 0.0000 0.0000

***

# 5
The following is a PBE calculation of a geometry-optimized NaHoVCl6 structure, from the Alexandria database.

Results
* symmetry: P-31c (163)
* spin magnetization: 3.00 μB/f.u.
* energy: -4.70 eV per atom
* ΔE_f (raw): -1800 meV/atom

Cell: 6.5425 6.5425 12.7181 Å, 90.00 90.00 120.00°
Site moments in Bohr magnetons follow the coordinates.
Sites, in units of the cell vectors:
Cl1 0.6537 0.6365 0.6354  -0.01
Cl2 0.3463 0.9828 0.1354  -0.01
Cl3 0.6365 0.6537 0.1354  -0.01
Cl4 0.6365 0.9828 0.3646  -0.01
Cl5 0.6537 0.0172 0.8646  -0.01
Cl6 0.0172 0.6537 0.3646  -0.01
Cl7 0.3463 0.3635 0.3646  -0.01
Cl8 0.3635 0.0172 0.6354  -0.01
Cl9 0.9828 0.6365 0.8646  -0.01
Cl10 0.3635 0.3463 0.8646  -0.01
Cl11 0.0172 0.3635 0.1354  -0.01
Cl12 0.9828 0.3463 0.6354  -0.01
V1 0.6667 0.3333 0.7500  2.57
V2 0.3333 0.6667 0.2500  2.57
Na1 0.0000 0.0000 0.5000  0.00
Na2 0.0000 0.0000 0.0000  0.00
Ho1 0.6667 0.3333 0.2500  0.03
Ho2 0.3333 0.6667 0.7500  0.03

***

# 6
The following is a PBE calculation of a geometry-optimized Cs2InPtAu structure, from the Alexandria database.

Results
* symmetry: P4/mmm (123)
* spin magnetization: 0.00 μB/f.u.
* energy: -2.87 eV per atom
* energy of formation from the pure elements: -0.113 eV per atom

Cell: 6.6282 6.6282 5.1808 Å, 90.00 90.00 90.00°
Sites, in units of the cell vectors:
Au1 0.5000 0.5000 0.5000
Cs1 0.0000 0.5000 0.0000
Cs2 0.5000 0.0000 0.0000
Pt1 0.0000 0.0000 0.0000
In1 0.0000 0.0000 0.5000

***

# 7
The following is a PBE calculation of a geometry-optimized KCdBiAu3 structure, from the Alexandria database.

Results
* symmetry: C2/c (15)
* spin magnetization: 0.00 μB/f.u.
* energy: -2.81 eV per atom
* energy of formation from the pure elements: -0.190 eV per atom

Cell: 6.7024 6.6574 8.4861 Å, 66.91 97.94 110.62°
Sites, in units of the cell vectors:
Au1 0.4636 0.0052 0.2602
Au2 0.9636 0.2654 0.7398
Au3 0.0364 0.7346 0.2602
Au4 0.7500 0.2838 0.4325
Au5 0.2500 0.7162 0.5675
Au6 0.5364 0.9948 0.7398
Cd1 0.2500 0.0320 0.9361
Cd2 0.7500 0.9680 0.0639
Bi1 0.7500 0.4691 0.0617
Bi2 0.2500 0.5309 0.9383
K1 0.7500 0.7051 0.5898
K2 0.2500 0.2949 0.4102

***

# 8
The following is a PBE calculation of a geometry-optimized DyY2Tm3 structure, from the Alexandria database.

Results
* energy above the most stable polymorph in this dataset: 1.99 eV per formula unit
* symmetry: Cmcm (63)
* spin magnetization: 0.00 μB/f.u.
* energy: -4.80 eV per atom
* energy of formation from the pure elements: 0.360 eV per atom

Cell: 5.5393 8.8881 8.8881 Å, 111.91 90.00 90.00°
Sites, in units of the cell vectors:
Dy1 0.4929 0.2674 0.2674
Dy2 0.9929 0.7326 0.7326
Tm1 0.4932 0.6323 0.1114
Tm2 0.4932 0.1114 0.6323
Tm3 0.4928 0.9108 0.9108
Tm4 0.9932 0.3677 0.8886
Tm5 0.9932 0.8886 0.3677
Tm6 0.9928 0.0892 0.0892
Y1 0.9930 0.2896 0.5093
Y2 0.4930 0.7104 0.4907
Y3 0.4930 0.4907 0.7104
Y4 0.9930 0.5093 0.2896

***

# 9
The following is a PBE calculation of a geometry-optimized Pm2BIr3 structure, from the Alexandria database.

Results
* symmetry: P6_3/mmc (194)
* spin magnetization: 0.00 μB/f.u.
* energy: -7.53 eV per atom
* energy of formation from the pure elements: -0.400 eV per atom

Cell: 5.5479 5.5479 7.7750 Å, 90.00 90.00 120.00°
Sites, in units of the cell vectors:
B1 0.0000 0.0000 0.0000
B2 0.0000 0.0000 0.5000
Ir1 0.3229 0.1614 0.7500
Ir2 0.1614 0.3229 0.2500
Ir3 0.1614 0.8386 0.2500
Ir4 0.8386 0.1614 0.7500
Ir5 0.8386 0.6771 0.7500
Ir6 0.6771 0.8386 0.2500
Pm1 0.6667 0.3333 0.4378
Pm2 0.6667 0.3333 0.0622
Pm3 0.3333 0.6667 0.5622
Pm4 0.3333 0.6667 0.9378

***

# 10
The following is a PBE calculation of a geometry-optimized MoPd3S4 structure, from the Alexandria database.

Results
* symmetry: Pmn2_1 (31)
* spin magnetization: 0.00 μB/f.u.
* energy: -5.70 eV per atom
* ΔE_f (raw): -333 meV/atom

Cell: 6.3736 6.3221 7.4847 Å, 90.00 90.00 90.00°
Sites, in units of the cell vectors:
S1 0.1072 0.3424 0.2210
S2 0.6072 0.6576 0.2790
S3 0.6072 0.6576 0.7210
S4 0.7006 0.1486 0.5000
S5 0.1190 0.7886 0.5000
S6 0.2006 0.8514 0.0000
S7 0.1072 0.3424 0.7790
S8 0.6190 0.2114 0.0000
Pd1 0.4617 0.2936 0.2978
Pd2 0.0836 0.1637 0.5000
Pd3 0.9617 0.7064 0.7978
Pd4 0.9617 0.7064 0.2022
Pd5 0.4617 0.2936 0.7022
Pd6 0.5836 0.8363 0.0000
Mo1 0.9744 0.1461 0.0000
Mo2 0.4744 0.8539 0.5000

***

# 11
The following is a PBE calculation of a geometry-optimized TlBiTeH2 structure, from the Alexandria database.

Results
* symmetry: P4/mmm (123)
* spin magnetization: 0.00 μB/f.u.
* energy: -2.86 eV per atom

Cell: 4.2719 6.4612 4.2719 Å, 90.00 90.00 90.00°
Sites, in units of the cell vectors:
Te1 0.5000 0.5000 0.5000
H1 0.0000 0.0000 0.5000
H2 0.5000 0.0000 0.0000
Bi1 0.0000 0.5000 0.0000
Tl1 0.0000 0.0000 0.0000

***

# 12
The following is a PBE calculation of a geometry-optimized ZrUW structure, from the Alexandria database.

Results
* symmetry: R-3m (166)
* spin magnetization: 0.00 μB/f.u.
* energy: -10.78 eV per atom
* energy of formation from the pure elements: 0.146 eV per atom

Cell: 5.6151 5.6151 13.8086 Å, 78.27 78.27 60.00°
Sites, in units of the cell vectors:
U1 0.7382 0.7382 0.3294
U2 0.2618 0.2618 0.6706
U3 0.7382 0.1941 0.3294
U4 0.2618 0.8059 0.6706
U5 0.8059 0.2618 0.6706
U6 0.1941 0.7382 0.3294
Zr1 0.2697 0.2697 0.1909
Zr2 0.0383 0.0383 0.8850
Zr3 0.8197 0.8197 0.5408
Zr4 0.9617 0.9617 0.1150
Zr5 0.7303 0.7303 0.8091
Zr6 0.1803 0.1803 0.4592
W1 0.0000 0.5000 0.0000
W2 0.3871 0.3871 0.8386
W3 0.5000 0.5000 0.5000
W4 0.6129 0.6129 0.1614
W5 0.5000 0.5000 0.0000
W6 0.5000 0.0000 0.0000